Si2PbSe | PBE-GGA | optimized geometry

Lattice parameters (Å, degrees): 11.9575 3.4593 4.9352 90.00 114.06 90.00
Space group Cm (No. 8)
One atom of each set of equivalent atoms:
Si: 0.0000 0.0000 0.0000
Si: 0.1183 0.5000 0.3651
Pb: 0.3505 0.0000 0.4553
Se: 0.1503 0.0000 0.7788

Values from the calculation:
Excess energy over the best structure of this formula in the dataset (meV/atom): 189
E_tot (eV for the cell shown): -34.056